[1]
Compound: K2CoP2WO10
Source: Alexandria via LeMat-Bulk
Functional: PBEsol
Structure: optimized geometry

Computed properties:
E: -484.25 eV per cell

POSCAR file:
```
K2CoP2WO10
1.0
9.1790 0.0000 0.0000
0.0000 9.1790 0.0000
0.0000 0.0000 10.6898
K Co P W O
8 4 8 4 40
Cartesian
0.0312 2.6246 0.3944
1.9649 4.6207 3.0669
2.6246 0.0312 10.2954
4.5583 7.2141 2.2781
4.6207 1.9649 7.6230
6.5544 9.1478 4.9505
7.2141 4.5583 8.4118
9.1478 6.5544 5.7393
1.2012 7.9778 2.6725
3.3883 3.3883 0.0000
5.7907 5.7907 5.3449
7.9778 1.2012 8.0174
1.5700 2.9617 7.9986
1.6277 6.1595 10.6711
2.9617 1.5700 2.6912
3.0195 7.5512 5.3636
6.1595 1.6277 0.0187
6.2172 7.6090 8.0361
7.5512 3.0195 5.3262
7.6090 6.2172 2.6537
1.0410 1.0410 5.3449
3.5485 5.6305 8.0174
5.6305 3.5485 2.6725
8.1380 8.1380 0.0000
0.0616 2.8800 8.2102
0.0627 8.7258 1.2829
0.1273 6.5613 10.3943
0.4532 9.1163 4.0620
1.7095 4.6511 0.1929
1.9718 4.4622 7.7219
2.0422 2.1951 6.7250
2.1851 6.9382 1.1808
2.1951 2.0422 3.9648
2.2408 6.9939 4.1641
2.3487 2.4044 9.1982
2.3944 6.6317 9.3974
2.4044 2.3487 1.4916
2.5473 6.7846 6.6373
2.6177 9.0517 5.6404
2.8800 0.0616 2.4796
4.1363 4.5268 9.3003
4.4622 1.9718 2.9679
4.5268 4.1363 1.3895
4.5279 7.4694 5.1520
4.6511 1.7095 10.4969
4.6522 5.0427 6.7344
4.7168 7.2072 8.3128
5.0427 4.6522 3.9554
6.2990 9.1174 7.8245
6.5613 0.1273 0.2955
6.6317 2.3944 1.2924
6.7746 6.8303 6.8365
6.7846 2.5473 4.0525
6.8303 6.7746 3.8533
6.9382 2.1851 9.5090
6.9839 7.1368 9.3098
6.9939 2.2408 6.5257
7.1368 6.9839 1.3801
7.2072 4.7168 2.3770
7.4694 4.5279 5.5378
8.7258 0.0627 9.4069
9.0517 2.6177 5.0494
9.1163 0.4532 6.6278
9.1174 6.2990 2.8653
```

---

[2]
Compound: SbP3C
Source: Alexandria via LeMat-Bulk
Functional: PBEsol
Structure: optimized geometry

Computed properties:
E: -18.21 eV per cell

POSCAR file:
```
SbP3C
1.0
4.9729 0.0000 0.0000
0.0000 4.9729 0.0000
0.0000 0.0000 4.9729
Sb P C
1 3 1
Cartesian
0.0000 0.0000 0.0000
0.0000 0.0000 2.4864
0.0000 2.4864 0.0000
2.4864 0.0000 0.0000
2.4864 2.4864 2.4864
```

---

[3]
Compound: MgAg2Au
Source: Alexandria via LeMat-Bulk
Functional: PBEsol
Structure: optimized geometry

Computed properties:
E: -12.98 eV per cell

POSCAR file:
```
MgAg2Au
1.0
2.8339 -3.9793 0.0000
2.8339 3.9793 0.0000
0.0000 0.0000 3.0271
Mg Ag Au
1 2 1
Cartesian
0.0000 0.0000 0.0000
1.4169 1.9896 1.5135
1.4169 -1.9896 1.5135
2.8339 0.0000 0.0000
```

---

[4]
Compound: AgBiO2
Source: Alexandria via LeMat-Bulk
Functional: PBEsol
Structure: optimized geometry

Computed properties:
E: -21.01 eV per cell

POSCAR file:
```
AgBiO2
1.0
1.8187 1.0501 6.3155
-1.8187 1.0501 6.3155
0.0000 -2.1001 6.3155
Ag Bi O
1 1 2
Cartesian
0.0000 0.0000 0.0000
0.0000 0.0000 9.4732
0.0000 0.0000 2.0337
0.0000 0.0000 16.9127
```

---

[5]
Compound: HfCuSiAu2
Source: Alexandria via LeMat-Bulk
Functional: PBEsol
Structure: optimized geometry

Computed properties:
E: -26.88 eV per cell

POSCAR file:
```
HfCuSiAu2
1.0
4.6620 0.0000 0.0000
0.0000 4.6620 0.0000
0.0000 0.0000 4.2338
Hf Cu Si Au
1 1 1 2
Cartesian
0.0000 0.0000 0.0000
2.3310 2.3310 0.0000
2.3310 2.3310 2.1169
0.0000 2.3310 2.1169
2.3310 0.0000 2.1169
```

---

[6]
Compound: TaZn2Re
Source: Alexandria via LeMat-Bulk
Functional: PBEsol
Structure: optimized geometry

Computed properties:
ΔE to the lowest computed polymorph: 0.00 eV per formula unit

POSCAR file:
```
TaZn2Re
1.0
3.7507 0.0000 0.0000
0.0000 3.7507 0.0000
0.0000 0.0000 4.2001
Ta Zn Re
1 2 1
Cartesian
0.0000 0.0000 0.0000
0.0000 1.8754 2.1000
1.8754 0.0000 2.1000
1.8754 1.8754 0.0000
```